(1)
Density functional theory data (GGA-PBE) for an optimized crystal structure of TbNd3DyHo.

Lattice parameters (Å, degrees): 5.105 8.083 10.217 90.00 90.00 108.41
Element x y z (fractional)
Tb: 0.835 0.670 0.750
Dy: 0.000 0.000 0.000
Nd: 0.335 0.670 0.500
Ho: 0.499 0.998 0.750
Tb: 0.165 0.330 0.250
Nd: 0.834 0.668 0.250
Nd: 0.665 0.330 0.500
Dy: 0.000 0.000 0.500
Nd: 0.166 0.332 0.750
Nd: 0.665 0.330 0.000
Nd: 0.335 0.670 0.000
Ho: 0.501 0.002 0.250

Properties
Final energy: -4.6661 eV per atom
Crystal system: orthorhombic
Calculated formation energy: 0.12 eV per formula unit

---

(2)
Density functional theory data (GGA-PBE) for an optimized crystal structure of Sr2VGeN.

Lattice parameters (Å, degrees): 5.910 4.735 5.910 90.00 90.00 90.00
Each line ends with the local moment (μB).
Element x y z (fractional)
Ge: 0.000 0.500 0.000  -0.04
Sr: 0.500 0.000 0.000  0.11
N: 0.500 0.500 0.500  1.16
V: 0.000 0.000 0.000  2.74
Sr: 0.000 0.000 0.500  0.13

Properties
Final energy: -4.0188 eV per atom
Raw formation energy: 1.07 eV/atom
Crystal system: tetragonal

---

(3)
Density functional theory data (GGA-PBE) for an optimized crystal structure of KBaSr2Tl.

Lattice parameters (Å, degrees): 6.614 6.614 6.798 90.00 90.00 90.00
Element x y z (fractional)
K: 0.500 0.500 0.500
Tl: 0.000 0.000 0.000
Sr: 0.000 0.500 0.000
Sr: 0.500 0.000 0.000
Ba: 0.000 0.000 0.500

Properties
Final energy: -1.8117 eV per atom
Crystal system: tetragonal
Calculated formation energy: -0.31 eV per formula unit

---

(4)
Density functional theory data (GGA-PBE) for an optimized crystal structure of ZrZnAu.

Lattice parameters (Å, degrees): 3.263 3.263 6.405 90.00 90.00 120.00
Element x y z (fractional)
Au: 0.000 0.000 0.015
Zr: 0.667 0.333 0.666
Zn: 0.333 0.667 0.320

Properties
Final energy: -4.5163 eV per atom
Crystal system: trigonal
Calculated formation energy: -0.45 eV per formula unit

---

(5)
Density functional theory data (GGA-PBE) for an optimized crystal structure of SrCa4Mo.

Lattice parameters (Å, degrees): 6.946 6.946 6.946 60.00 60.00 60.00
Each line ends with the local moment (μB).
Element x y z (fractional)
Ca: 0.872 0.376 0.376  0.01
Mo: 0.750 0.750 0.750  3.44
Ca: 0.376 0.376 0.376  0.01
Ca: 0.376 0.376 0.872  0.01
Sr: 0.000 0.000 0.000  -0.01
Ca: 0.376 0.872 0.376  0.01

Properties
Final energy: -2.6525 eV per atom
Crystal system: cubic
Calculated formation energy: 4.60 eV per formula unit

---

(6)
Density functional theory data (GGA-PBE) for an optimized crystal structure of BeZn2S.

Lattice parameters (Å, degrees): 5.971 5.971 5.907 59.64 59.64 90.00
Element x y z (fractional)
S: 0.000 0.000 0.000
S: 0.750 0.250 0.500
Zn: 0.375 0.376 0.750
Be: 0.500 0.500 0.000
Be: 0.250 0.750 0.500
Zn: 0.126 0.625 0.250
Zn: 0.875 0.874 0.750
Zn: 0.624 0.125 0.250

Properties
Excess energy over the best structure of this formula in the dataset: 0 meV per atom
Final energy: -2.3970 eV per atom
Raw formation energy: 0.20 eV/atom
Crystal system: tetragonal